#w
TmCoB after structural relaxation, computed with PBE. Values from VASP.

Quantum ESPRESSO input file:
```
&SYSTEM
  ibrav = 0, nat = 6, ntyp = 3
/
ATOMIC_SPECIES
Co 58.93 Co.upf
Tm 168.93 Tm.upf
B 10.81 B.upf
CELL_PARAMETERS angstrom
-2.230 2.698 0.311
-2.700 -2.160 -0.626
-0.602 -1.325 7.175
ATOMIC_POSITIONS angstrom
Co -2.583 -0.946 -0.391
Tm -1.651 -0.787 4.909
B -1.315 -0.047 0.901
Tm -3.881 -0.001 1.951
B -4.218 -0.741 5.960
Co -2.348 1.483 0.077
```

Computed properties:
The value obtained for the density of states at the Fermi level is 2.5 states/eV per cell. Its space group is P4/nmm.

=====

#x
TmCoB after structural relaxation, computed with PBE. Values from VASP.

Quantum ESPRESSO input file:
```
&SYSTEM
  ibrav = 0, nat = 3, ntyp = 3
/
ATOMIC_SPECIES
Co 58.93 Co.upf
B 10.81 B.upf
Tm 168.93 Tm.upf
CELL_PARAMETERS angstrom
3.880 0.000 0.000
0.000 3.542 0.000
0.000 -1.771 3.068
ATOMIC_POSITIONS angstrom
Co 0.647 0.000 0.000
B 0.647 1.771 1.023
Tm 2.587 0.000 2.045
```

Computed properties:
The value obtained for the density of states at the Fermi level is 2.2 states/eV per cell. Its space group is P-6m2.

=====

#y
TmCoB after structural relaxation, computed with PBE. Values from VASP.

Quantum ESPRESSO input file:
```
&SYSTEM
  ibrav = 0, nat = 6, ntyp = 3
/
ATOMIC_SPECIES
B 10.81 B.upf
Tm 168.93 Tm.upf
Co 58.93 Co.upf
CELL_PARAMETERS angstrom
-1.705 1.781 1.946
-4.148 -2.233 -1.595
2.844 -3.763 3.401
ATOMIC_POSITIONS angstrom
B -2.826 -3.330 0.568
B -0.184 -0.885 3.184
Tm -0.819 -1.322 0.490
Co -3.576 -1.452 0.729
Co 0.566 -2.762 3.023
Tm -2.190 -2.893 3.262
```

Computed properties:
The value obtained for the density of states at the Fermi level is 4.3 states/eV per cell. Its space group is C2/m.

=====

#w is the most stable structure; the next one sits 10.7 kJ/mol of atoms above it.

=====

#w
TmCoB3 after structural relaxation, computed with PBE. Values from VASP.

Quantum ESPRESSO input file:
```
&SYSTEM
  ibrav = 0, nat = 10, ntyp = 3
/
ATOMIC_SPECIES
B 10.81 B.upf
Co 58.93 Co.upf
Tm 168.93 Tm.upf
CELL_PARAMETERS angstrom
-2.163 1.482 -1.527
-2.571 0.109 3.748
4.249 5.922 2.743
ATOMIC_POSITIONS angstrom
B 0.225 4.869 1.391
B 0.429 3.912 3.190
Co -2.342 2.228 2.465
B -0.710 2.644 3.572
Tm -0.146 1.072 1.247
Tm -0.339 6.441 3.716
B -0.622 3.957 4.721
B 0.137 3.556 0.242
Co 1.857 5.285 2.499
B -0.914 3.601 1.774
```

Computed properties:
The value obtained for the density of states at the Fermi level is 5.0 states/eV per cell. Its space group is Cmcm.

=====

#x
TmCoB3 after structural relaxation, computed with PBE. Values from VASP.

Quantum ESPRESSO input file:
```
&SYSTEM
  ibrav = 0, nat = 10, ntyp = 3
/
ATOMIC_SPECIES
Tm 168.93 Tm.upf
B 10.81 B.upf
Co 58.93 Co.upf
CELL_PARAMETERS angstrom
-0.333 -2.622 -2.293
-1.627 -1.636 2.107
-7.686 5.063 -2.002
ATOMIC_POSITIONS angstrom
Tm -7.986 0.615 -2.213
B -6.199 1.152 -0.417
Tm -1.659 0.189 0.025
Co -5.139 0.461 -2.451
B -6.114 2.318 -1.762
Co -4.507 0.343 0.262
B -3.532 -1.513 -0.426
B -7.897 3.170 -2.477
B -1.748 -2.365 0.289
B -3.446 -0.348 -1.772
```

Computed properties:
The value obtained for the density of states at the Fermi level is 6.1 states/eV per cell. Its space group is Cmcm.

=====

#x is the most stable structure; the next one sits 26.0 kJ/mol of atoms above it.

=====

#w
TmCoB2 after structural relaxation, computed with PBE. Values from VASP.

Quantum ESPRESSO input file:
```
&SYSTEM
  ibrav = 0, nat = 16, ntyp = 3
/
ATOMIC_SPECIES
B 10.81 B.upf
Tm 168.93 Tm.upf
Co 58.93 Co.upf
CELL_PARAMETERS angstrom
-2.018 2.316 0.626
-1.277 -2.504 5.147
7.303 5.189 4.335
ATOMIC_POSITIONS angstrom
B 2.195 1.791 4.370
Tm -0.310 1.403 5.581
Co 2.468 2.547 2.452
B -1.320 -1.505 5.236
B -2.436 -0.151 4.479
B 1.814 3.210 5.739
B 2.280 1.394 6.110
Co 4.702 5.498 6.580
Tm 4.319 3.598 4.528
B 5.329 6.506 4.873
Co -0.693 -0.497 3.529
Tm 4.337 2.812 7.491
Co 1.541 2.454 7.657
B 6.445 5.152 5.630
B 1.729 3.607 3.999
Tm -0.328 2.189 2.618
```

Computed properties:
The value obtained for the density of states at the Fermi level is 10.0 states/eV per cell. Its space group is Pnma.

=====

#x
TmCoB2 after structural relaxation, computed with PBE. Values from VASP.

Quantum ESPRESSO input file:
```
&SYSTEM
  ibrav = 0, nat = 4, ntyp = 3
/
ATOMIC_SPECIES
B 10.81 B.upf
Co 58.93 Co.upf
Tm 168.93 Tm.upf
CELL_PARAMETERS angstrom
3.444 0.000 0.000
1.722 2.982 0.000
1.722 0.994 4.544
ATOMIC_POSITIONS angstrom
B 5.165 2.982 4.144
B 1.722 0.994 0.401
Co 0.000 0.000 0.000
Tm 3.444 1.988 2.272
```

Computed properties:
The value obtained for the density of states at the Fermi level is 2.5 states/eV per cell. Its space group is R-3m.

=====

#y
TmCoB2 after structural relaxation, computed with PBE. Values from VASP.

Quantum ESPRESSO input file:
```
&SYSTEM
  ibrav = 0, nat = 16, ntyp = 3
/
ATOMIC_SPECIES
B 10.81 B.upf
Tm 168.93 Tm.upf
Co 58.93 Co.upf
CELL_PARAMETERS angstrom
-1.341 3.769 -3.280
-3.785 -3.519 -2.496
-4.237 1.834 3.840
ATOMIC_POSITIONS angstrom
B -5.774 4.749 0.361
B -3.590 -2.664 -2.298
Tm -6.231 -0.049 -3.629
B -5.462 0.991 -1.413
B -5.901 2.225 -2.487
Co -7.599 1.459 -1.337
B -4.029 -1.430 -3.372
Tm -3.133 2.134 1.693
Co -5.073 2.945 -0.663
Co -4.291 -0.860 -1.274
Co -1.764 0.625 -0.600
B -3.902 1.094 -0.524
B -5.335 3.514 1.435
Tm -3.549 1.368 -3.097
Tm -5.815 0.716 1.160
B -3.463 -0.140 0.550
```

Computed properties:
The value obtained for the density of states at the Fermi level is 5.5 states/eV per cell. Its space group is Pnma.

=====

#y is the most stable structure; the next one sits 16.2 kJ/mol of atoms above it.

=====

#w
UCo3B3 after structural relaxation, computed with PBE. Values from VASP.

Quantum ESPRESSO input file:
```
&SYSTEM
  ibrav = 0, nat = 14, ntyp = 3
/
ATOMIC_SPECIES
B 10.81 B.upf
Co 58.93 Co.upf
U 238.03 U.upf
CELL_PARAMETERS angstrom
-1.119 -4.395 -3.075
5.172 -0.051 -1.808
1.421 -3.272 4.159
ATOMIC_POSITIONS angstrom
B -0.204 -3.015 -0.498
B 2.004 -1.649 1.627
B 1.747 -3.322 -3.210
Co 0.431 -2.735 1.311
Co -0.128 -4.932 -0.227
Co 2.941 -0.844 0.136
Co 3.320 -2.236 -2.894
Co 3.652 -2.480 2.215
B 2.306 -1.124 -1.673
U 2.737 -3.859 -0.362
B 4.590 -1.675 0.723
B 0.507 -4.651 1.581
Co 0.734 -2.210 -1.990
U 0.000 0.000 0.000
```

Computed properties:
The value obtained for the density of states at the Fermi level is 13.1 states/eV per cell. Its space group is Pm-3n.

=====

#x
UCo3B3 after structural relaxation, computed with PBE. Values from VASP.

Quantum ESPRESSO input file:
```
&SYSTEM
  ibrav = 0, nat = 14, ntyp = 3
/
ATOMIC_SPECIES
Co 58.93 Co.upf
B 10.81 B.upf
U 238.03 U.upf
CELL_PARAMETERS angstrom
3.126 0.000 0.000
0.000 6.725 -3.839
0.000 -0.038 7.743
ATOMIC_POSITIONS angstrom
Co 2.344 5.007 -2.119
B 0.781 2.715 1.874
Co 2.344 2.349 0.627
B 0.781 3.707 5.318
B 2.344 3.973 2.030
Co 0.781 0.631 2.348
B 2.344 6.459 -0.551
Co 2.344 6.056 1.556
B 2.344 2.980 -1.414
Co 0.781 4.338 3.277
U 2.344 2.217 3.882
B 0.781 0.228 4.455
U 0.781 4.471 0.021
Co 0.781 1.680 6.023
```

Computed properties:
The value obtained for the density of states at the Fermi level is 10.3 states/eV per cell. Its space group is P6_3/m.

=====

#x is the most stable structure; the next one sits 10.0 kJ/mol of atoms above it.

=====

#w
UCoB after structural relaxation, computed with PBE. Values from VASP.

Quantum ESPRESSO input file:
```
&SYSTEM
  ibrav = 0, nat = 3, ntyp = 3
/
ATOMIC_SPECIES
Co 58.93 Co.upf
B 10.81 B.upf
U 238.03 U.upf
CELL_PARAMETERS angstrom
-1.537 2.188 0.565
-1.443 -1.476 1.791
4.644 0.930 2.421
ATOMIC_POSITIONS angstrom
Co -1.045 0.537 1.686
B 1.590 1.611 4.693
U 1.838 0.749 2.097
```

Computed properties:
The value obtained for the density of states at the Fermi level is 3.7 states/eV per cell. Its space group is I4mm.

=====

#x
UCoB after structural relaxation, computed with PBE. Values from VASP.

Quantum ESPRESSO input file:
```
&SYSTEM
  ibrav = 0, nat = 6, ntyp = 3
/
ATOMIC_SPECIES
B 10.81 B.upf
Co 58.93 Co.upf
U 238.03 U.upf
CELL_PARAMETERS angstrom
-2.345 2.675 -0.268
-3.292 0.052 -1.374
-3.677 -1.667 7.105
ATOMIC_POSITIONS angstrom
B -5.669 0.707 3.179
Co -5.365 -0.163 4.981
U -0.330 0.027 0.218
B -3.386 -0.832 4.874
Co -3.689 0.037 3.071
U -5.045 1.514 0.730
```

Computed properties:
The value obtained for the density of states at the Fermi level is 7.1 states/eV per cell. Its space group is C2/m.

=====

#w is the most stable structure; the next one sits 4.3 kJ/mol of atoms above it.

=====

#w
UCo4B after structural relaxation, computed with PBE. Values from VASP.

Quantum ESPRESSO input file:
```
&SYSTEM
  ibrav = 0, nat = 12, ntyp = 3
/
ATOMIC_SPECIES
B 10.81 B.upf
Co 58.93 Co.upf
U 238.03 U.upf
CELL_PARAMETERS angstrom
-4.599 -1.170 -1.043
1.454 -2.093 -4.068
1.499 -2.506 7.526
ATOMIC_POSITIONS angstrom
B 1.476 -2.300 1.729
Co -0.571 -3.175 -2.775
U -1.126 -5.021 3.632
U -0.520 -0.748 -1.217
Co -0.018 -2.358 0.439
Co 0.184 -1.074 2.684
Co 0.652 -3.386 3.383
Co -2.299 -2.383 -0.968
Co -1.831 -4.695 -0.269
B -1.550 -1.838 3.242
Co -1.076 -2.594 5.190
Co -1.628 -3.411 1.976
```

Computed properties:
The value obtained for the density of states at the Fermi level is 13.4 states/eV per cell. Its space group is C2/c.

=====

#x
UCo4B after structural relaxation, computed with PBE. Values from VASP.

Quantum ESPRESSO input file:
```
&SYSTEM
  ibrav = 0, nat = 12, ntyp = 3
/
ATOMIC_SPECIES
Co 58.93 Co.upf
B 10.81 B.upf
U 238.03 U.upf
CELL_PARAMETERS angstrom
2.440 -4.225 0.000
2.440 4.225 0.000
0.000 0.000 6.933
ATOMIC_POSITIONS angstrom
Co 1.220 -2.113 2.003
Co 1.220 -2.113 4.930
Co 2.440 1.408 0.000
B 2.440 -1.408 3.467
Co 1.220 2.113 2.003
B 2.440 1.408 3.467
Co 2.440 -1.408 0.000
U 0.000 0.000 0.000
Co 2.440 0.000 2.003
Co 2.440 0.000 4.930
Co 1.220 2.113 4.930
U 0.000 0.000 3.467
```

Computed properties:
The value obtained for the density of states at the Fermi level is 14.0 states/eV per cell. Its space group is P6/mmm.

=====

#x is the most stable structure; the next one sits 18.2 kJ/mol of atoms above it.

=====

#w
V3CoB after structural relaxation, computed with PBE. Values from VASP.

Quantum ESPRESSO input file:
```
&SYSTEM
  ibrav = 0, nat = 5, ntyp = 3
/
ATOMIC_SPECIES
V 50.94 V.upf
B 10.81 B.upf
Co 58.93 Co.upf
CELL_PARAMETERS angstrom
3.972 0.000 0.000
0.000 3.972 0.000
0.000 0.000 3.972
ATOMIC_POSITIONS angstrom
V 0.000 1.986 0.000
B 0.000 0.000 0.000
V 0.000 0.000 1.986
Co 1.986 1.986 1.986
V 1.986 0.000 0.000
```

Computed properties:
The value obtained for the density of states at the Fermi level is 6.8 states/eV per cell. Its space group is Pm-3m.

=====

#x
V3CoB after structural relaxation, computed with PBE. Values from VASP.

Quantum ESPRESSO input file:
```
&SYSTEM
  ibrav = 0, nat = 5, ntyp = 3
/
ATOMIC_SPECIES
B 10.81 B.upf
Co 58.93 Co.upf
V 50.94 V.upf
CELL_PARAMETERS angstrom
-3.590 -1.606 1.494
2.084 -3.389 1.366
0.682 1.906 3.688
ATOMIC_POSITIONS angstrom
B -0.412 -1.544 3.274
Co 0.000 0.000 0.000
V -1.795 -0.803 0.747
V 1.042 -1.695 0.683
V 0.341 0.953 1.844
```

Computed properties:
The value obtained for the density of states at the Fermi level is 7.3 states/eV per cell. Its space group is Pm-3m.

=====

#w is the most stable structure; the next one sits 108.5 kJ/mol of atoms above it.

=====

#w
VCo3B after structural relaxation, computed with PBE. Values from VASP.

Quantum ESPRESSO input file:
```
&SYSTEM
  ibrav = 0, nat = 20, ntyp = 3
/
ATOMIC_SPECIES
Co 58.93 Co.upf
V 50.94 V.upf
B 10.81 B.upf
CELL_PARAMETERS angstrom
4.440 0.000 0.000
0.000 5.221 0.000
0.000 0.000 8.919
ATOMIC_POSITIONS angstrom
Co 0.053 0.562 1.075
Co 4.388 4.659 7.844
V 2.220 0.000 4.459
Co 1.293 1.114 6.689
Co 3.513 1.497 6.689
Co 2.167 3.172 7.844
Co 2.273 2.049 3.385
V 0.000 2.611 4.459
B 2.628 4.837 6.689
B 4.033 2.226 2.230
V 0.000 2.611 0.000
Co 0.927 3.724 2.230
Co 2.167 3.172 5.534
Co 2.273 2.049 1.075
B 1.812 0.384 2.230
Co 4.388 4.659 5.534
Co 3.147 4.107 2.230
Co 0.053 0.562 3.385
V 2.220 0.000 0.000
B 0.408 2.995 6.689
```

Computed properties:
The value obtained for the density of states at the Fermi level is 15.3 states/eV per cell. Its space group is Pnma.

=====

#x
VCo3B after structural relaxation, computed with PBE. Values from VASP.

Quantum ESPRESSO input file:
```
&SYSTEM
  ibrav = 0, nat = 5, ntyp = 3
/
ATOMIC_SPECIES
Co 58.93 Co.upf
B 10.81 B.upf
V 50.94 V.upf
CELL_PARAMETERS angstrom
3.758 0.000 0.000
0.000 3.758 0.000
0.000 0.000 3.758
ATOMIC_POSITIONS angstrom
Co 0.000 1.879 0.000
B 0.000 0.000 0.000
V 1.879 1.879 1.879
Co 1.879 0.000 0.000
Co 0.000 0.000 1.879
```

Computed properties:
The value obtained for the density of states at the Fermi level is 5.9 states/eV per cell. Its space group is Pm-3m.

=====

#w is the most stable structure; the next one sits 4.3 kJ/mol of atoms above it.